[1]
Here is a relaxed structure of ScIrO from Alexandria via LeMat-Bulk. Energies are from PBE.

energy relative to the elements, uncorrected: -1.506 eV/atom
M_tot: 0.00 μB per atom
final energy: -8.223 eV per atom

a b c (Å): 7.609 3.433 7.526
angles (deg): 90.00 118.54 90.00
Space group C2/m (No. 12)
One atom of each set of equivalent atoms:
1 Sc 0.228 0.000 0.175 x4
2 Ir 0.129 0.500 0.386 x4
3 O 0.083 0.000 0.852 x4

=====

[2]
Here is a relaxed structure of MgZnCdN2 from Alexandria via LeMat-Bulk. Energies are from PBE.

energy relative to the elements, uncorrected: 1.358 eV/atom
M_tot: 0.36 μB per atom
final energy: -2.729 eV per atom
N(E_F): 0.432 states/eV per atom

a b c (Å): 4.003 4.003 5.117
angles (deg): 90.00 90.00 90.00
Space group P4/mmm (No. 123)
One atom of each set of equivalent atoms:
1 Mg 0.000 0.000 0.000 x1
2 Zn 0.000 0.000 0.500 x1
3 Cd 0.500 0.500 0.000 x1
4 N 0.000 0.500 0.500 x2

=====

[3]
Here is a relaxed structure of SrHf3Tl from Alexandria via LeMat-Bulk. Energies are from PBE.

calculated formation energy: 2.022 eV/atom
M_tot: 0.03 μB per atom
final energy: -4.759 eV per atom
N(E_F): 2.117 states/eV per atom

a b c (Å): 5.202 5.202 5.202
angles (deg): 90.00 90.00 90.00
Space group Pm-3m (No. 221)
One atom of each set of equivalent atoms:
1 Sr 0.000 0.000 0.000 x1
2 Hf 0.000 0.000 0.500 x3
3 Tl 0.500 0.500 0.500 x1

=====

[4]
Here is a relaxed structure of LiTaBr2 from Alexandria via LeMat-Bulk. Energies are from PBE.

energy relative to the elements, uncorrected: 0.160 eV/atom
M_tot: 0.00 μB per atom
final energy: -4.118 eV per atom
N(E_F): 0.038 states/eV per atom

a b c (Å): 6.568 6.568 6.568
angles (deg): 90.00 90.00 90.00
Space group Fm-3m (No. 225)
One atom of each set of equivalent atoms:
1 Li 0.000 0.000 0.000 x4
2 Ta 0.000 0.000 0.500 x4
3 Br 0.250 0.250 0.250 x8

=====

[5]
Here is a relaxed structure of CeIBr2 from Alexandria via LeMat-Bulk. Energies are from PBE.

energy relative to the elements, uncorrected: -1.633 eV/atom
M_tot: 0.25 μB per atom
final energy: -4.340 eV per atom
N(E_F): 1.979 states/eV per atom

a b c (Å): 8.325 12.815 7.775
angles (deg): 90.00 117.17 90.00
Space group Cc (No. 9)
One atom of each set of equivalent atoms:
1 Ce 0.000 0.092 0.000 x4
2 I 0.262 0.413 0.719 x4
3 Br 0.210 0.066 0.787 x4
4 Br 0.254 0.252 0.239 x4

=====

[6]
Here is a relaxed structure of La6Nd2HoMg from Alexandria via LeMat-Bulk. Energies are from PBE.

calculated formation energy: 0.088 eV/atom
M_tot: 0.00 μB per atom
final energy: -4.440 eV per atom
N(E_F): 1.556 states/eV per atom

a b c (Å): 10.695 13.884 9.505
angles (deg): 90.00 98.15 90.00
Space group C2/c (No. 15)
One atom of each set of equivalent atoms:
1 La 0.057 0.122 0.099 x8
2 La 0.087 0.333 0.917 x8
3 La 0.245 0.287 0.325 x8
4 Nd 0.232 0.467 0.591 x8
5 Ho 0.000 0.430 0.250 x4
6 Mg 0.000 0.096 0.750 x4